(1)
# NbAlCo4 GGA-PBE optimized geometry
# - D(E_F): 8.187 states/eV/f.u.
# - Symmetry: No. 216
# - Energy above the most stable polymorph in this dataset: 0.00 eV/f.u.
# - Formation energy: -0.2341 eV per atom
data_NbAlCo4
_cell_length_a 4.705
_cell_length_b 4.705
_cell_length_c 4.705
_cell_angle_alpha 60.00
_cell_angle_beta 60.00
_cell_angle_gamma 60.00
_space_group_name_H-M_alt 'P 1'
_space_group_IT_number 1
loop_
_space_group_symop_operation_xyz
'x,y,z'
loop_
_atom_site_label
_atom_site_type_symbol
_atom_site_fract_x
_atom_site_fract_y
_atom_site_fract_z
_atom_site_occupancy
Nb1 Nb 0.250 0.250 0.250 1
Co1 Co 0.626 0.626 0.122 1
Co2 Co 0.626 0.122 0.626 1
Co3 Co 0.626 0.626 0.626 1
Co4 Co 0.122 0.626 0.626 1
Al1 Al 0.000 0.000 0.000 1

=====

(2)
# LaYHoZn GGA-PBE optimized geometry
# - D(E_F): 5.244 states/eV/f.u.
# - Symmetry: No. 99
# - Energy above the most stable polymorph in this dataset: 0.00 eV/f.u.
# - Formation energy: -0.1614 eV per atom
data_LaYHoZn
_cell_length_a 3.597
_cell_length_b 3.597
_cell_length_c 8.871
_cell_angle_alpha 90.00
_cell_angle_beta 90.00
_cell_angle_gamma 90.00
_space_group_name_H-M_alt 'P 1'
_space_group_IT_number 1
loop_
_space_group_symop_operation_xyz
'x,y,z'
loop_
_atom_site_label
_atom_site_type_symbol
_atom_site_fract_x
_atom_site_fract_y
_atom_site_fract_z
_atom_site_occupancy
La1 La 0.000 0.000 0.074 1
Y1 Y 0.500 0.500 0.768 1
Ho1 Ho 0.500 0.500 0.375 1
Zn1 Zn 0.000 0.000 0.568 1